Entry 1:
# CsUReO6 | the Alexandria database | PBE | optimized geometry
# Uncorrected energy (eV for the cell shown): -301.80
data_CsUReO6
_chemical_formula_sum 'Cs4 U4 Re4 O24'
_cell_length_a 7.393
_cell_length_b 7.909
_cell_length_c 10.775
_cell_angle_alpha 90.00
_cell_angle_beta 90.00
_cell_angle_gamma 90.00
_symmetry_space_group_name_H-M 'I m m a'
_symmetry_Int_Tables_number 74
_symmetry_space_group_name_Hall '-I 2b 2'
loop_
_atom_site_label
_atom_site_fract_x
_atom_site_fract_y
_atom_site_fract_z
Cs1 0.000 0.250 0.112
U1 0.000 0.000 0.500
Re1 0.250 0.250 0.750
O1 0.000 0.250 0.425
O2 0.000 0.250 0.790
O3 0.204 0.075 0.624

=====

Entry 2:
# Y2ZnS | the Alexandria database | PBE | optimized geometry
# Distance to the lowest polymorph of the same formula (kJ/mol of formula units): 0
data_Y2ZnS
_chemical_formula_sum 'Y8 Zn4 S4'
_cell_length_a 3.902
_cell_length_b 22.511
_cell_length_c 4.111
_cell_angle_alpha 90.00
_cell_angle_beta 90.00
_cell_angle_gamma 90.00
_symmetry_space_group_name_H-M 'C m c m'
_symmetry_Int_Tables_number 63
_symmetry_space_group_name_Hall '-C 2c 2'
loop_
_atom_site_label
_atom_site_fract_x
_atom_site_fract_y
_atom_site_fract_z
Y1 0.000 0.073 0.250
Y2 0.000 0.315 0.250
Zn1 0.000 0.462 0.250
S1 0.000 0.194 0.250